A geometry-optimized KLa2Pr3Te6 structure. Source: Alexandria via LeMat-Bulk, functional PBE-GGA.

Values from the calculation:
SG: C2/m, No. 12
Electronic total energy in Ha/atom: -0.189
Crystal system: monoclinic

Cell: 4.5571 9.2941 10.3011 Å, 103.41 102.78 90.00°
Last column: nearest neighbours and their distance in Å.
Atoms (fractional coordinates):
La1 0.8324 0.6633 0.6649  6 Te 3.23-3.31
Pr1 0.8377 0.1786 0.6754  6 Te 3.20-3.29
Te1 0.6655 0.5821 0.3309  3 Pr 3.20-3.23, 3 La 3.23-3.26
Te2 0.9983 0.7398 0.9965  3 Pr 3.19-3.20, 1 La 3.24, 2 K 3.32
Te3 0.3345 0.4179 0.6691  3 Pr 3.20-3.23, 3 La 3.23-3.26
Te4 0.0017 0.2602 0.0035  3 Pr 3.19-3.20, 1 La 3.24, 2 K 3.32
La2 0.1676 0.3367 0.3351  6 Te 3.23-3.31
K1 0.5000 0.0000 0.0000  6 Te 3.32-3.36
Pr2 0.1623 0.8214 0.3246  6 Te 3.20-3.29
Pr3 0.5000 0.5000 0.0000  6 Te 3.19-3.23
Te5 0.6719 0.0811 0.3438  3 Pr 3.24-3.29, 2 La 3.31, 1 K 3.36
Te6 0.3281 0.9189 0.6562  3 Pr 3.24-3.29, 2 La 3.31, 1 K 3.36